Record 1
# TlSi2Br GGA-PBEsol optimized geometry
# * E_form (uncorrected): 0.539 eV per atom
# * M_tot: 0.000 μB/f.u.
# * final energy: -27.7 eV/cell
# * energy above the lowest structure with this stoichiometry: 54 meV per atom
data_TlSi2Br
_chemical_formula_sum 'Tl2 Si4 Br2'
_cell_length_a 3.267
_cell_length_b 5.480
_cell_length_c 9.488
_cell_angle_alpha 90.00
_cell_angle_beta 90.00
_cell_angle_gamma 90.00
_space_group_name_H-M_alt 'C m m m'
_space_group_IT_number 65
_space_group_name_Hall '-C 2 2'
loop_
_atom_site_label
_atom_site_type_symbol
_atom_site_fract_x
_atom_site_fract_y
_atom_site_fract_z
Tl1 Tl 0.000 0.000 0.000
Si1 Si 0.000 0.500 0.267
Br1 Br 0.000 0.000 0.500

Record 2
# TlSiBr2 GGA-PBEsol optimized geometry
# * E_form (uncorrected): -0.162 eV per atom
# * M_tot: 0.000 μB/f.u.
# * final energy: -12.8 eV/cell
# * energy above the lowest structure with this stoichiometry: 0 meV per atom
data_TlSiBr2
_chemical_formula_sum 'Tl1 Si1 Br2'
_cell_length_a 3.492
_cell_length_b 3.979
_cell_length_c 7.751
_cell_angle_alpha 90.00
_cell_angle_beta 90.00
_cell_angle_gamma 90.00
_space_group_name_H-M_alt 'P m m m'
_space_group_IT_number 47
loop_
_space_group_symop_operation_xyz
'x,y,z'
'-x,-y,-z'
'-x,-y,z'
'x,y,-z'
'x,-y,-z'
'-x,y,z'
'-x,y,-z'
'x,-y,z'
loop_
_atom_site_label
_atom_site_type_symbol
_atom_site_fract_x
_atom_site_fract_y
_atom_site_fract_z
Tl1 Tl 0.000 0.000 0.000
Si1 Si 0.500 0.000 0.500
Br1 Br 0.500 0.500 0.260

Record 3
# SiW2Br GGA-PBEsol optimized geometry
# * E_form (uncorrected): 0.764 eV per atom
# * M_tot: 0.000 μB/f.u.
# * final energy: -64.4 eV/cell
# * energy above the lowest structure with this stoichiometry: 0 meV per atom
data_SiW2Br
_chemical_formula_sum 'Si2 W4 Br2'
_cell_length_a 3.202
_cell_length_b 4.774
_cell_length_c 8.425
_cell_angle_alpha 90.00
_cell_angle_beta 90.00
_cell_angle_gamma 90.00
_space_group_name_H-M_alt 'C m m m'
_space_group_IT_number 65
_space_group_name_Hall '-C 2 2'
loop_
_atom_site_label
_atom_site_type_symbol
_atom_site_fract_x
_atom_site_fract_y
_atom_site_fract_z
Si1 Si 0.000 0.000 0.000
W1 W 0.000 0.500 0.224
Br1 Br 0.000 0.000 0.500

Record 4
# SiWBr3 GGA-PBEsol optimized geometry
# * E_form (uncorrected): 1.183 eV per atom
# * M_tot: 5.130 μB/f.u.
# * final energy: -19.2 eV/cell
data_SiWBr3
_chemical_formula_sum 'Si1 W1 Br3'
_cell_length_a 5.104
_cell_length_b 5.104
_cell_length_c 5.104
_cell_angle_alpha 90.00
_cell_angle_beta 90.00
_cell_angle_gamma 90.00
_space_group_name_H-M_alt 'P m -3 m'
_space_group_IT_number 221
_space_group_name_Hall '-P 4 2 3'
loop_
_atom_site_label
_atom_site_type_symbol
_atom_site_fract_x
_atom_site_fract_y
_atom_site_fract_z
Si1 Si 0.000 0.000 0.000
W1 W 0.500 0.500 0.500
Br1 Br 0.000 0.000 0.500

Record 5
# Si2WBr GGA-PBEsol optimized geometry
# * E_form (uncorrected): 0.825 eV per atom
# * M_tot: 0.000 μB/f.u.
# * final energy: -95.5 eV/cell
# * energy above the lowest structure with this stoichiometry: 0 meV per atom
data_Si2WBr
_chemical_formula_sum 'Si8 W4 Br4'
_cell_length_a 6.276
_cell_length_b 6.276
_cell_length_c 6.276
_cell_angle_alpha 90.00
_cell_angle_beta 90.00
_cell_angle_gamma 90.00
_space_group_name_H-M_alt 'F -4 3 m'
_space_group_IT_number 216
_space_group_name_Hall 'F -4 2 3'
loop_
_atom_site_label
_atom_site_type_symbol
_atom_site_fract_x
_atom_site_fract_y
_atom_site_fract_z
Si1 Si 0.000 0.000 0.000
Si2 Si 0.250 0.250 0.250
W1 W 0.000 0.000 0.500
Br1 Br 0.250 0.250 0.750

Record 6
# Si2WBr GGA-PBEsol optimized geometry
# * E_form (uncorrected): 0.998 eV per atom
# * M_tot: 0.000 μB/f.u.
# * final energy: -92.7 eV/cell
# * energy above the lowest structure with this stoichiometry: 173 meV per atom
data_Si2WBr
_chemical_formula_sum 'Si8 W4 Br4'
_cell_length_a 5.966
_cell_length_b 5.966
_cell_length_c 11.153
_cell_angle_alpha 90.00
_cell_angle_beta 90.00
_cell_angle_gamma 90.00
_space_group_name_H-M_alt 'I -4 2 d'
_space_group_IT_number 122
_space_group_name_Hall 'I -4 2bw'
loop_
_atom_site_label
_atom_site_type_symbol
_atom_site_fract_x
_atom_site_fract_y
_atom_site_fract_z
Si1 Si 0.200 0.250 0.125
W1 W 0.000 0.000 0.000
Br1 Br 0.000 0.000 0.500

> The highest final energy belongs to which entry?

TlSiBr2